# 1
Material: Lu4Nb2Al3C3
Method: DFT, PBE
State: relaxed

Results
crystal system: monoclinic

Structure (POSCAR):
```
Lu4Nb2Al3C3
1.0
5.847 0.000 0.000
-2.912 5.070 0.000
-2.791 -1.769 14.403
C Lu Nb Al
6 8 4 6
Direct
0.310 0.655 0.500
0.000 0.000 0.500
0.655 0.809 0.000
0.690 0.345 0.500
0.345 0.191 0.000
0.000 0.500 0.000
0.280 0.301 0.404
0.720 0.699 0.596
0.595 0.958 0.404
0.053 0.191 0.096
0.405 0.042 0.596
0.397 0.876 0.096
0.947 0.809 0.904
0.603 0.124 0.904
0.725 0.526 0.075
0.275 0.474 0.925
0.950 0.649 0.425
0.050 0.351 0.575
0.434 0.418 0.752
0.166 0.682 0.748
0.096 0.846 0.250
0.904 0.154 0.750
0.834 0.318 0.252
0.566 0.582 0.248
```

# 2
Material: Lu2Nb4Al3C3
Method: DFT, PBE
State: relaxed

Results
crystal system: monoclinic

Structure (POSCAR):
```
Lu2Nb4Al3C3
1.0
4.852 -2.798 0.000
4.852 2.798 0.000
-3.341 0.000 14.104
Nb C Al Lu
8 6 6 4
Direct
0.694 0.852 0.081
0.796 0.982 0.419
0.148 0.306 0.419
0.306 0.148 0.919
0.018 0.204 0.081
0.852 0.694 0.581
0.204 0.018 0.581
0.982 0.796 0.919
0.840 0.330 0.500
0.500 0.000 0.500
0.670 0.160 0.000
0.000 0.500 0.000
0.330 0.840 0.000
0.160 0.670 0.500
0.929 0.071 0.250
0.100 0.413 0.748
0.587 0.900 0.752
0.413 0.100 0.248
0.071 0.929 0.750
0.900 0.587 0.252
0.538 0.377 0.609
0.462 0.623 0.391
0.623 0.462 0.891
0.377 0.538 0.109
```

# 3
Material: Lu4AlPC2
Method: DFT, PBE
State: relaxed

Results
crystal system: hexagonal

Structure (POSCAR):
```
Lu4AlPC2
1.0
-0.699 3.408 0.575
-2.642 -2.288 -0.463
-0.348 -2.449 14.085
Lu C P Al
4 2 1 1
Direct
0.000 0.000 0.365
0.000 0.000 0.635
0.667 0.333 0.182
0.667 0.333 0.818
0.333 0.667 0.269
0.333 0.667 0.731
0.667 0.333 0.500
0.000 0.000 0.000
```

# 4
Material: Lu4AlPbC2
Method: DFT, PBE
State: relaxed

Results
crystal system: hexagonal

Structure (POSCAR):
```
Lu4AlPbC2
1.0
-0.725 -3.346 0.809
3.166 0.856 -1.272
5.202 2.392 14.558
Al Lu C Pb
1 4 2 1
Direct
0.000 0.000 0.000
0.667 0.333 0.162
0.000 0.000 0.672
0.667 0.333 0.838
0.000 0.000 0.328
0.333 0.667 0.752
0.333 0.667 0.248
0.667 0.333 0.500
```

# 5
Material: Lu4AlC2S
Method: DFT, PBE
State: relaxed

Results
crystal system: hexagonal

Structure (POSCAR):
```
Lu4AlC2S
1.0
3.545 0.000 0.000
-1.772 3.070 0.000
0.000 0.000 14.039
Lu C Al S
4 2 1 1
Direct
0.333 0.667 0.867
0.667 0.333 0.682
0.333 0.667 0.133
0.667 0.333 0.318
0.000 0.000 0.226
0.000 0.000 0.774
0.333 0.667 0.500
0.667 0.333 0.000
```

# 6
Material: Lu4AlC2S
Method: DFT, PBE
State: relaxed

Results
crystal system: hexagonal

Structure (POSCAR):
```
Lu4AlC2S
1.0
-3.186 -1.509 -0.370
2.676 -1.837 1.424
-3.646 4.575 12.755
C Lu S Al
2 4 1 1
Direct
0.333 0.667 0.726
0.333 0.667 0.274
0.667 0.333 0.182
0.000 0.000 0.367
0.000 0.000 0.633
0.667 0.333 0.818
0.667 0.333 0.500
0.000 0.000 0.000
```

| no. | uncorrected energy (eV per atom) |
| --- | --- |
| 1 | -6.896 |
| 2 | -7.919 |
| 3 | -6.268 |
| 4 | -5.946 |
| 5 | -6.368 |
| 6 | -6.368 |